The following is a DFT calculation (GGA+U) of a relaxed structure of Nb2InNiF.

POSCAR file:
```
Nb2InNiF
1.0
-3.947 2.427 0.179
-0.732 -0.849 -4.610
-2.327 -3.863 1.080
F Nb Ni In
1 2 1 1
direct
0.500 0.500 0.500
0.500 0.000 0.000
0.000 0.000 0.500
0.000 0.000 0.000
0.000 0.500 0.000
```

## Properties
* magnetic moment: 0.4 μB per formula unit
* space group: P4/mmm (123)
* calculated total energy: -0.169 Ha/atom